# Tb2Al3Au2

A relaxed Tb2Al3Au2 crystal (GGA-PBE, Alexandria via LeMat-Bulk).

Cell: 4.358 5.728 6.846 Å, 112.66 90.00 112.36°
Fractional coordinates of all 7 atoms:
Au (0.150, 0.299, 0.240)
Au (0.850, 0.701, 0.760)
Al (0.500, 0.000, 0.000)
Tb (0.148, 0.296, 0.781)
Al (0.397, 0.793, 0.569)
Al (0.603, 0.207, 0.431)
Tb (0.852, 0.704, 0.219)

Values from the calculation:
**Total DFT energy (no corrections)**: -31.87 eV/cell
**Size of the total moment**: 0.000 μB/f.u.
**ΔE to the lowest computed polymorph**: 0.000 eV/atom

***

# TbAl3Au3

A relaxed TbAl3Au3 crystal (GGA-PBE, Alexandria via LeMat-Bulk).

Cell: 4.485 7.382 9.634 Å, 118.43 90.00 90.00°
Fractional coordinates of all 14 atoms:
Au (0.250, 0.351, 0.459)
Al (0.750, 0.023, 0.745)
Al (0.250, 0.753, 0.714)
Au (0.750, 0.925, 0.394)
Au (0.750, 0.649, 0.541)
Tb (0.750, 0.427, 0.720)
Al (0.250, 0.977, 0.255)
Au (0.750, 0.315, 0.044)
Au (0.250, 0.075, 0.606)
Au (0.250, 0.685, 0.956)
Al (0.250, 0.286, 0.906)
Al (0.750, 0.714, 0.094)
Tb (0.250, 0.573, 0.280)
Al (0.750, 0.247, 0.286)

Values from the calculation:
**Total DFT energy (no corrections)**: -58.81 eV/cell
**Size of the total moment**: 0.000 μB/f.u.
**ΔE to the lowest computed polymorph**: 0.000 eV/atom

***

# Tb2Al12Au7

A relaxed Tb2Al12Au7 crystal (GGA-PBE, Alexandria via LeMat-Bulk).

Cell: 4.067 10.520 10.520 Å, 120.00 90.00 90.00°
Fractional coordinates of all 21 atoms:
Al (0.740, 0.845, 0.112)
Au (0.763, 0.585, 0.873)
Au (0.500, 0.000, 0.000)
Au (0.763, 0.127, 0.711)
Al (0.260, 0.112, 0.266)
Al (0.748, 0.385, 0.950)
Al (0.252, 0.950, 0.565)
Tb (0.265, 0.333, 0.667)
Au (0.763, 0.289, 0.415)
Al (0.260, 0.155, 0.888)
Au (0.237, 0.415, 0.127)
Al (0.252, 0.435, 0.385)
Au (0.237, 0.873, 0.289)
Al (0.260, 0.734, 0.845)
Al (0.740, 0.888, 0.734)
Au (0.237, 0.711, 0.585)
Tb (0.735, 0.667, 0.333)
Al (0.740, 0.266, 0.155)
Al (0.748, 0.050, 0.435)
Al (0.252, 0.615, 0.050)
Al (0.748, 0.565, 0.615)

Values from the calculation:
**Total DFT energy (no corrections)**: -87.79 eV/cell
**Size of the total moment**: 0.000 μB/f.u.